Entry 1:
This record from the Alexandria database describes MgRhF6 after structural relaxation. The functional is GGA-PBE.

Properties
SG: P312 (149)
Raw formation energy in eV per atom: -2.2303

abc: 4.6616 4.9373 4.9373
angles: 120.00 90.00 90.00
With the nearest neighbours (Å) after each atom.
Fractional positions:
Mg  0.5000  0.0000  0.0000  6 F 2.03
Rh  0.0000  0.6667  0.3333  6 F 1.95
F  0.7535  0.9819  0.6569  1 Rh 1.95, 1 Mg 2.03
F  0.2465  0.9819  0.3250  1 Rh 1.95, 1 Mg 2.03
F  0.2465  0.6750  0.6569  1 Rh 1.95, 1 Mg 2.03
F  0.7535  0.6750  0.0181  1 Rh 1.95, 1 Mg 2.03
F  0.7535  0.3431  0.3250  1 Rh 1.95, 1 Mg 2.03
F  0.2465  0.3431  0.0181  1 Rh 1.95, 1 Mg 2.03

Entry 2:
This record from the Alexandria database describes FeCuP2 after structural relaxation. The functional is GGA-PBE.

Properties
SG: P2/m (10)

abc: 2.9173 4.8932 4.7916
angles: 46.61 90.00 90.00
With the nearest neighbours (Å) after each atom.
Fractional positions:
Cu  0.5000  0.5000  0.5000  6 P 2.40-2.41
Fe  0.0000  0.0000  0.5000  6 P 2.40-2.41
P  0.0000  0.0000  0.0000  2 Fe 2.40, 4 Cu 2.41
P  0.5000  0.5000  0.0000  2 Cu 2.40, 4 Fe 2.41

Entry 3:
This record from the Alexandria database describes Th2Hg2Pb after structural relaxation. The functional is GGA-PBE.

Properties
SG: P4/mbm (127)
Energy relative to the lowest polymorph listed for this composition in meV per atom: 0

abc: 4.5591 7.9274 7.9274
angles: 90.00 90.00 90.00
With the nearest neighbours (Å) after each atom.
Fractional positions:
Th  0.5000  0.1664  0.6664  6 Hg 3.22-3.29
Th  0.5000  0.6664  0.8336  6 Hg 3.22-3.29
Th  0.5000  0.8336  0.3336  6 Hg 3.22-3.29
Th  0.5000  0.3336  0.1664  6 Hg 3.22-3.29
Hg  0.0000  0.3695  0.8695  1 Hg 2.93, 2 Pb 3.11, 2 Th 3.22
Hg  0.0000  0.8695  0.6305  1 Hg 2.93, 2 Pb 3.11, 2 Th 3.22
Hg  0.0000  0.6305  0.1305  1 Hg 2.93, 2 Pb 3.11, 2 Th 3.22
Hg  0.0000  0.1305  0.3695  1 Hg 2.93, 2 Pb 3.11, 2 Th 3.22
Pb  0.0000  0.0000  0.0000  4 Hg 3.11
Pb  0.0000  0.5000  0.5000  4 Hg 3.11

Entry 4:
This record from the Alexandria database describes KRb2NaSn after structural relaxation. The functional is GGA-PBE.

Properties
SG: P4/mmm (123)

abc: 7.2089 7.2089 6.1742
angles: 90.00 90.00 90.00
With the nearest neighbours (Å) after each atom.
Fractional positions:
Na  0.0000  0.0000  0.5000  2 Sn 3.09
K  0.5000  0.5000  0.5000  8 Rb 4.75, 4 Na 5.10
Sn  0.0000  0.0000  0.0000  2 Na 3.09
Rb  0.0000  0.5000  0.0000  2 Sn 3.60
Rb  0.5000  0.0000  0.0000  2 Sn 3.60

Entry 5:
This record from the Alexandria database describes La4PrNd3 after structural relaxation. The functional is GGA-PBE.

Properties
SG: Cmmm (65)
Energy relative to the lowest polymorph listed for this composition in meV per atom: 311

abc: 3.5071 9.1692 9.1692
angles: 98.22 90.00 90.00
With the nearest neighbours (Å) after each atom.
Fractional positions:
La  0.0000  0.7493  0.7493  4 Nd 3.47, 2 Pr 3.48, 2 La 3.51
La  0.5000  0.2509  0.7491  5 Nd 3.45-3.48, 1 Pr 3.48, 2 La 3.51
La  0.0000  0.2507  0.2507  4 Nd 3.47, 2 Pr 3.48, 2 La 3.51
La  0.5000  0.7491  0.2509  5 Nd 3.45-3.48, 1 Pr 3.48, 2 La 3.51
Pr  0.5000  0.0000  0.0000  6 La 3.48, 2 Pr 3.51
Nd  0.0000  0.0000  0.5000  6 La 3.47-3.48, 2 Nd 3.51
Nd  0.5000  0.5000  0.5000  6 La 3.45-3.47, 2 Nd 3.51
Nd  0.0000  0.5000  0.0000  6 La 3.47-3.48, 2 Nd 3.51

Entry 6:
This record from the Alexandria database describes Sc4Sb2O after structural relaxation. The functional is GGA-PBE.

Properties
SG: I4/mmm (139)
Raw formation energy in eV per atom: -1.4242

abc: 4.2514 4.2514 8.3747
angles: 75.30 75.30 90.00
With the nearest neighbours (Å) after each atom.
Fractional positions:
Sc  0.8286  0.8286  0.3428  1 O 2.68, 1 Sb 2.93
Sc  0.1714  0.1714  0.6572  1 O 2.68, 1 Sb 2.93
Sc  0.0000  0.5000  0.0000  2 O 2.13
Sc  0.5000  0.0000  0.0000  2 O 2.13
Sb  0.6410  0.6410  0.7181  9 Sc 2.93-3.06
Sb  0.3590  0.3590  0.2819  9 Sc 2.93-3.06
O  0.0000  0.0000  0.0000  4 Sc 2.13

Entry 7:
This record from the Alexandria database describes Zr2Ga2Sn after structural relaxation. The functional is GGA-PBE.

Properties
SG: P4/mbm (127)
Energy relative to the lowest polymorph listed for this composition in meV per atom: 154

abc: 7.6259 7.6259 3.7483
angles: 90.00 90.00 90.00
With the nearest neighbours (Å) after each atom.
Fractional positions:
Ga  0.1250  0.6250  0.5000  1 Ga 2.70, 6 Zr 2.88-2.96
Ga  0.6250  0.8750  0.5000  1 Ga 2.70, 6 Zr 2.88-2.96
Ga  0.8750  0.3750  0.5000  1 Ga 2.70, 6 Zr 2.88-2.96
Ga  0.3750  0.1250  0.5000  1 Ga 2.70, 6 Zr 2.88-2.96
Sn  0.0000  0.0000  0.0000  4 Zr 2.83
Sn  0.5000  0.5000  0.0000  4 Zr 2.83
Zr  0.3284  0.8284  0.0000  2 Sn 2.83, 6 Ga 2.88-2.96
Zr  0.8284  0.6716  0.0000  2 Sn 2.83, 6 Ga 2.88-2.96
Zr  0.6716  0.1716  0.0000  2 Sn 2.83, 6 Ga 2.88-2.96
Zr  0.1716  0.3284  0.0000  2 Sn 2.83, 6 Ga 2.88-2.96

Entry 8:
This record from the Alexandria database describes CrReOs2 after structural relaxation. The functional is GGA-PBE.

Properties
SG: Cm (8)
Energy relative to the lowest polymorph listed for this composition in meV per atom: 37

abc: 4.6821 4.6821 4.6844
angles: 80.05 80.05 33.75
With the nearest neighbours (Å) after each atom.
Fractional positions:
Cr  0.2481  0.2481  0.2429  7 Os 2.63-2.73, 3 Re 2.68-2.76, 2 Cr 2.72
Os  0.0023  0.0023  0.0082  3 Cr 2.63-2.71, 4 Re 2.67-2.74, 5 Os 2.68-2.78
Os  0.7469  0.7469  0.7494  3 Re 2.66-2.74, 5 Os 2.68-2.78, 4 Cr 2.68-2.73
Re  0.5026  0.5026  0.4996  7 Os 2.66-2.74, 3 Cr 2.68-2.76, 2 Re 2.72

Entry 9:
This record from the Alexandria database describes Ca2OsPtO6 after structural relaxation. The functional is GGA-PBE.

Properties
SG: P4mm (99)
Raw formation energy in eV per atom: -1.4457

abc: 4.4102 5.5328 5.5328
angles: 90.00 90.00 90.00
With the nearest neighbours (Å) after each atom.
Fractional positions:
Ca  0.0309  0.5000  0.0000  4 O 2.42
Ca  0.0309  0.0000  0.5000  4 O 2.42
Os  0.5988  0.0000  0.0000  5 O 1.87-1.93
Pt  0.6286  0.5000  0.5000  6 O 2.08-2.28
O  0.7094  0.2382  0.2382  1 Os 1.93, 1 Pt 2.08
O  0.7094  0.2382  0.7618  1 Os 1.93, 1 Pt 2.08
O  0.1458  0.5000  0.5000  2 Pt 2.13-2.28
O  0.1742  0.0000  0.0000  1 Os 1.87
O  0.7094  0.7618  0.7618  1 Os 1.93, 1 Pt 2.08
O  0.7094  0.7618  0.2382  1 Os 1.93, 1 Pt 2.08

Entry 10:
This record from the Alexandria database describes LaTbPbAu after structural relaxation. The functional is GGA-PBE.

Properties
SG: F-43m (216)

abc: 5.4145 5.4145 5.4145
angles: 60.00 60.00 60.00
With the nearest neighbours (Å) after each atom.
Fractional positions:
Pb  0.5000  0.5000  0.5000  4 Tb 3.32, 4 La 3.32
Tb  0.7500  0.7500  0.7500  4 Pb 3.32, 4 Au 3.32
Au  0.0000  0.0000  0.0000  4 Tb 3.32, 4 La 3.32
La  0.2500  0.2500  0.2500  4 Pb 3.32, 4 Au 3.32

Entry 11:
This record from the Alexandria database describes Sr3CrAu after structural relaxation. The functional is GGA-PBE.

Properties
SG: Pm-3m (221)
Energy relative to the lowest polymorph listed for this composition in meV per atom: 0

abc: 6.0113 6.0113 6.0113
angles: 90.00 90.00 90.00
With the nearest neighbours (Å) after each atom.
Fractional positions:
Sr  0.0000  0.5000  0.0000  2 Au 3.01
Sr  0.0000  0.0000  0.5000  2 Au 3.01
Sr  0.5000  0.0000  0.0000  2 Au 3.01
Au  0.0000  0.0000  0.0000  6 Sr 3.01
Cr  0.5000  0.5000  0.5000  12 Sr 4.25

Entry 12:
This record from the Alexandria database describes Ti2CO after structural relaxation. The functional is GGA-PBE.

Properties
SG: R3m (160)
Raw formation energy in eV per atom: -1.7071
Energy relative to the lowest polymorph listed for this composition in meV per atom: 19

abc: 2.9899 2.9899 5.5456
angles: 74.36 74.36 60.00
With the nearest neighbours (Å) after each atom.
Fractional positions:
Ti  0.0748  0.0748  0.7755  3 C 2.07, 3 O 2.23
Ti  0.2587  0.2587  0.2240  3 C 2.11, 3 O 2.28
C  0.6691  0.6691  0.9927  6 Ti 2.07-2.11
O  0.4974  0.4974  0.5078  6 Ti 2.23-2.28

Entry 13:
This record from the Alexandria database describes PmDy8Tm5 after structural relaxation. The functional is GGA-PBE.

Properties
SG: I-4 (82)

abc: 8.3864 8.3863 8.3864
angles: 111.49 105.50 111.49
With the nearest neighbours (Å) after each atom.
Fractional positions:
Pm  0.2500  0.5000  0.7500  4 Dy 3.21
Dy  0.1633  0.7386  0.0803  4 Tm 3.11-3.44, 1 Pm 3.21
Dy  0.9197  0.0830  0.6584  4 Tm 3.11-3.44, 1 Pm 3.21
Dy  0.7231  0.2535  0.3288  5 Tm 3.29-3.51, 3 Dy 3.52-3.58
Dy  0.6712  0.3943  0.9248  5 Tm 3.29-3.51, 3 Dy 3.52-3.58
Dy  0.5304  0.6057  0.2769  5 Tm 3.29-3.51, 3 Dy 3.52-3.58
Dy  0.5754  0.9170  0.8367  4 Tm 3.11-3.44, 1 Pm 3.21
Dy  0.3416  0.2614  0.4246  4 Tm 3.11-3.44, 1 Pm 3.21
Dy  0.0752  0.7465  0.4696  5 Tm 3.29-3.51, 3 Dy 3.52-3.58
Tm  0.0398  0.3208  0.1349  8 Dy 3.33-3.51, 2 Tm 3.49
Tm  0.8651  0.9049  0.1859  8 Dy 3.33-3.51, 2 Tm 3.49
Tm  0.8142  0.6792  0.7191  8 Dy 3.33-3.51, 2 Tm 3.49
Tm  0.5000  0.0000  0.5000  8 Dy 3.11-3.29
Tm  0.2809  0.0951  0.9602  8 Dy 3.33-3.51, 2 Tm 3.49

Entry 14:
This record from the Alexandria database describes Pm2Pd4Au after structural relaxation. The functional is GGA-PBE.

Properties
SG: I4/mmm (139)

abc: 4.0599 4.0599 9.4981
angles: 102.34 102.34 90.00
With the nearest neighbours (Å) after each atom.
Fractional positions:
Pm  0.6139  0.6138  0.2277  8 Pd 2.93-3.19
Pm  0.3861  0.3862  0.7723  8 Pd 2.93-3.19
Pd  0.1473  0.1473  0.2945  1 Au 2.67, 4 Pd 2.75, 4 Pm 2.93
Pd  0.8527  0.8527  0.7055  1 Au 2.67, 4 Pd 2.75, 4 Pm 2.93
Pd  0.7500  0.2500  0.5000  8 Pd 2.75-2.87
Pd  0.2500  0.7500  0.5000  8 Pd 2.75-2.87
Au  0.0000  0.0000  0.0000  2 Pd 2.67

Entry 15:
This record from the Alexandria database describes Sc3CdN after structural relaxation. The functional is GGA-PBE.

Properties
SG: C2/c (15)
Raw formation energy in eV per atom: -0.8219

abc: 11.9417 8.2541 8.2541
angles: 78.92 124.12 55.88
With the nearest neighbours (Å) after each atom.
Fractional positions:
Sc  0.4198  0.3997  0.4678  3 N 2.22
Sc  0.0802  0.9678  0.8997  3 N 2.22
Sc  0.5802  0.6003  0.5322  3 N 2.22
Sc  0.9198  0.0322  0.1003  3 N 2.22
Sc  0.0780  0.2272  0.1448  2 N 2.24
Sc  0.4220  0.6448  0.7272  2 N 2.24
Sc  0.9220  0.7728  0.8552  2 N 2.24
Sc  0.5780  0.3552  0.2728  2 N 2.24
Sc  0.5774  0.8546  0.7791  1 N 2.21
Sc  0.9226  0.2791  0.3546  1 N 2.21
Sc  0.4226  0.1454  0.2209  1 N 2.21
Sc  0.0774  0.7209  0.6454  1 N 2.21
N  0.7500  0.1892  0.6892  6 Sc 2.22-2.24
N  0.2500  0.8108  0.3108  6 Sc 2.22-2.24
N  0.7500  0.4427  0.9427  6 Sc 2.21-2.24
N  0.2500  0.5573  0.0573  6 Sc 2.21-2.24
Cd  0.0829  0.4870  0.3813  8 Sc 3.12-3.25, 4 Cd 3.27-3.44
Cd  0.4171  0.8813  0.9870  8 Sc 3.12-3.25, 4 Cd 3.27-3.44
Cd  0.9171  0.5130  0.6187  8 Sc 3.12-3.25, 4 Cd 3.27-3.44
Cd  0.5829  0.1187  0.0130  8 Sc 3.12-3.25, 4 Cd 3.27-3.44

Entry 16:
This record from the Alexandria database describes AsAuBr4 after structural relaxation. The functional is GGA-PBE.

Properties
SG: C2/c (15)
Raw formation energy in eV per atom: -0.2869
Energy relative to the lowest polymorph listed for this composition in meV per atom: 0

abc: 6.8169 7.2024 10.3196
angles: 69.58 90.84 92.42
With the nearest neighbours (Å) after each atom.
Fractional positions:
As  0.7500  0.0498  0.4004  6 Br 2.67-2.71
As  0.2500  0.9502  0.5996  6 Br 2.67-2.71
Au  0.2500  0.3531  0.7938  2 Br 2.43
Au  0.7500  0.6469  0.2062  2 Br 2.43
Br  0.4208  0.0602  0.8023  1 Au 2.43, 1 As 2.71
Br  0.0792  0.6375  0.8023  1 Au 2.43, 1 As 2.71
Br  0.4368  0.2581  0.4046  2 As 2.67-2.70
Br  0.5632  0.7419  0.5954  2 As 2.67-2.70
Br  0.9368  0.1627  0.5954  2 As 2.67-2.70
Br  0.9208  0.3625  0.1977  1 Au 2.43, 1 As 2.71
Br  0.0632  0.8373  0.4046  2 As 2.67-2.70
Br  0.5792  0.9398  0.1977  1 Au 2.43, 1 As 2.71

Entry 17:
This record from the Alexandria database describes TcAg2Au after structural relaxation. The functional is GGA-PBE.

Properties
SG: P4mm (99)
Energy relative to the lowest polymorph listed for this composition in meV per atom: 0

abc: 2.7601 2.7601 8.8366
angles: 90.00 90.00 90.09
With the nearest neighbours (Å) after each atom.
Fractional positions:
Ag  0.0000  0.0000  0.9939  8 Ag 2.76-2.98, 4 Tc 2.92
Ag  0.5000  0.5000  0.2494  8 Ag 2.76-2.98, 4 Au 3.01
Au  0.0000  0.0000  0.5082  4 Au 2.76, 4 Tc 2.88, 4 Ag 3.01
Tc  0.5000  0.5000  0.7485  4 Tc 2.76, 4 Au 2.88, 4 Ag 2.92

Entry 18:
This record from the Alexandria database describes Cs5I2Br2 after structural relaxation. The functional is GGA-PBE.

Properties
SG: Cmce (64)
Raw formation energy in eV per atom: -1.3876

abc: 10.3527 11.0430 11.0430
angles: 125.25 90.00 90.00
With the nearest neighbours (Å) after each atom.
Fractional positions:
Cs  0.0000  0.0000  0.0000  4 Br 3.82-3.86, 2 I 3.85
Cs  0.5000  0.5000  0.5000  4 Br 3.82-3.86, 2 I 3.85
Cs  0.1557  0.2109  0.4783  2 Br 3.71-4.14, 3 I 4.03-4.09
Cs  0.8443  0.5217  0.7891  2 Br 3.71-4.14, 3 I 4.03-4.09
Cs  0.6557  0.0217  0.2891  2 Br 3.71-4.14, 3 I 4.03-4.09
Cs  0.3443  0.7109  0.9783  2 Br 3.71-4.14, 3 I 4.03-4.09
Cs  0.8443  0.7891  0.5217  2 Br 3.71-4.14, 3 I 4.03-4.09
Cs  0.1557  0.4783  0.2109  2 Br 3.71-4.14, 3 I 4.03-4.09
Cs  0.3443  0.9783  0.7109  2 Br 3.71-4.14, 3 I 4.03-4.09
Cs  0.6557  0.2891  0.0217  2 Br 3.71-4.14, 3 I 4.03-4.09
I  0.0000  0.8038  0.1962  7 Cs 3.85-4.09
I  0.5000  0.3038  0.6962  7 Cs 3.85-4.09
I  0.0000  0.1962  0.8038  7 Cs 3.85-4.09
I  0.5000  0.6962  0.3038  7 Cs 3.85-4.09
Br  0.3339  0.1600  0.1600  6 Cs 3.71-4.14
Br  0.6661  0.8400  0.8400  6 Cs 3.71-4.14
Br  0.8339  0.3400  0.3400  6 Cs 3.71-4.14
Br  0.1661  0.6600  0.6600  6 Cs 3.71-4.14

Entry 19:
This record from the Alexandria database describes NaCCl3 after structural relaxation. The functional is GGA-PBE.

Properties
SG: Pm-3m (221)
Raw formation energy in eV per atom: 0.1702
Energy relative to the lowest polymorph listed for this composition in meV per atom: 0

abc: 4.5631 4.5631 4.5631
angles: 90.00 90.00 90.00
With the nearest neighbours (Å) after each atom.
Fractional positions:
Na  0.5000  0.5000  0.5000  12 Cl 3.23
C  0.0000  0.0000  0.0000  6 Cl 2.28
Cl  0.0000  0.5000  0.0000  2 C 2.28
Cl  0.0000  0.0000  0.5000  2 C 2.28
Cl  0.5000  0.0000  0.0000  2 C 2.28

Entry 20:
This record from the Alexandria database describes Ce2SmMgSb4 after structural relaxation. The functional is GGA-PBE.

Properties
SG: P2/m (10)
Raw formation energy in eV per atom: -0.8356

abc: 4.4856 7.6114 7.7670
angles: 69.49 90.00 90.00
With the nearest neighbours (Å) after each atom.
Fractional positions:
Ce  0.0000  0.0000  0.0000  6 Sb 3.17-3.18
Ce  0.5000  0.0000  0.5000  6 Sb 3.13-3.15
Sm  0.5000  0.5000  0.0000  6 Sb 3.14-3.17
Mg  0.0000  0.5000  0.5000  6 Sb 3.09-3.14
Sb  0.0000  0.7497  0.7481  3 Ce 3.13-3.17, 2 Sm 3.14, 1 Mg 3.14
Sb  0.0000  0.2503  0.2519  3 Ce 3.13-3.17, 2 Sm 3.14, 1 Mg 3.14
Sb  0.5000  0.7430  0.2584  2 Mg 3.09, 3 Ce 3.15-3.18, 1 Sm 3.17
Sb  0.5000  0.2570  0.7416  2 Mg 3.09, 3 Ce 3.15-3.18, 1 Sm 3.17

no.,E (eV per cell),theoretical density (Mg/m³)
1,-38.0,4.07
2,-23.0,6.06
3,-40.4,12.43
4,-8.1,1.82
5,-36.2,6.43
6,-48.5,5.16
7,-57.0,6.71
8,-44.1,18.31
9,-65.5,6.91
10,-19.0,10.39
11,-17.2,3.91
12,-36.8,5.04
13,-60.4,8.40
14,-38.4,10.16
15,-129.4,4.63
16,-32.7,4.14
17,-18.2,12.60
18,-46.4,3.47
19,-15.2,2.47
20,-41.4,6.30